Entry 1:
A plane-wave DFT calculation with PBE-GGA was carried out for a relaxed structure of NaGe3P3.

As for the crystal system: orthorhombic. The calculation puts the formation energy at -0.175 eV per atom. For the offset from the most stable computed form, the calculation gives 0.0000 eV/atom.

It has space group Pmc2_1 (No. 26), with a = 3.658 Å, b = 8.478 Å, c = 10.515 Å, α = 90.00°, β = 90.00° and γ = 90.00°. The asymmetric unit holds Na at (0.000, 0.130, 0.000), Ge at (0.000, 0.207, 0.715), Ge at (0.000, 0.500, 0.148), Ge at (0.500, 0.318, 0.414), P at (0.000, 0.271, 0.278), P at (0.500, 0.130, 0.578) and P at (0.500, 0.431, 0.011).

=====

Entry 2:
A plane-wave DFT calculation with PBE-GGA was carried out for a relaxed structure of NdErTm2S4.

As for the crystal system: monoclinic. For the density of states at the Fermi level, the calculation gives 0.550 states/eV per atom.

It has space group P2/m (No. 10), with a = 6.771 Å, b = 3.853 Å, c = 6.830 Å, α = 90.00°, β = 108.77° and γ = 90.00°. The asymmetric unit holds Nd at (0.000, 0.000, 0.000), Er at (0.500, 0.500, 0.000), Tm at (0.000, 0.500, 0.500), Tm at (0.500, 0.000, 0.500), S at (0.255, 0.000, 0.741) and S at (0.263, 0.500, 0.265).

=====

Entry 3:
A plane-wave DFT calculation with PBE-GGA was carried out for a relaxed structure of UPa2Ru.

As for the crystal system: tetragonal. The calculation puts the formation energy at -0.159 eV per atom. For the density of states at the Fermi level, the calculation gives 1.975 states/eV per atom. For the offset from the most stable computed form, the calculation gives 0.0000 eV/atom.

It has space group P4/mmm (No. 123), with a = 5.143 Å, b = 5.143 Å, c = 3.128 Å, α = 90.00°, β = 90.00° and γ = 90.00°. The asymmetric unit holds U at (0.000, 0.000, 0.000), Pa at (0.000, 0.500, 0.500) and Ru at (0.500, 0.500, 0.000).

=====

Entry 4:
A plane-wave DFT calculation with PBE-GGA was carried out for a relaxed structure of Ba2ReBr.

As for the crystal system: orthorhombic. For the density of states at the Fermi level, the calculation gives 0.550 states/eV per atom. For the offset from the most stable computed form, the calculation gives 0.0749 eV/atom.

It has space group Amm2 (No. 38), with a = 5.587 Å, b = 3.707 Å, c = 12.313 Å, α = 90.00°, β = 90.00° and γ = 90.00°. The asymmetric unit holds Ba at (0.000, 0.000, 0.000), Ba at (0.500, 0.000, 0.258), Re at (0.000, 0.000, 0.754) and Br at (0.500, 0.000, 0.521).

=====

Entry 5:
A plane-wave DFT calculation with PBE-GGA was carried out for a relaxed structure of BaMgZn2Br8.

As for the crystal system: trigonal. For the density of states at the Fermi level, the calculation gives 0.000 states/eV per atom.

It has space group P-3 (No. 147), with a = 6.7486 Å, b = 6.7486 Å, c = 9.3702 Å, α = 90.00°, β = 90.00° and γ = 120.00°. The asymmetric unit holds Ba at (0.0000, 0.0000, 0.0000), Mg at (0.0000, 0.0000, 0.5000), Zn at (0.3333, 0.6667, 0.7399), Br at (0.0082, 0.6931, 0.3214) and Br at (0.3333, 0.6667, 0.9985).

=====

Entry 6:
A plane-wave DFT calculation with PBE-GGA was carried out for a relaxed structure of AlAu2Se.

As for the crystal system: trigonal. For the density of states at the Fermi level, the calculation gives 0.190 states/eV per atom.

It has space group R3m (No. 160, hexagonal axes), with a = 3.7199 Å, b = 3.7199 Å, c = 19.8695 Å, α = 90.00°, β = 90.00° and γ = 120.00°. The asymmetric unit holds Al at (0.0000, 0.0000, 0.0000), Au at (0.0000, 0.0000, 0.2574), Au at (0.0000, 0.0000, 0.5006) and Se at (0.0000, 0.0000, 0.7404).

=====

Entry 7:
A plane-wave DFT calculation with PBE-GGA was carried out for a relaxed structure of SmDyTm.

As for the crystal system: trigonal. The calculation puts the formation energy at 0.073 eV per atom. For the density of states at the Fermi level, the calculation gives 1.498 states/eV per atom. For the offset from the most stable computed form, the calculation gives 0.0784 eV/atom.

It has space group P3m1 (No. 156), with a = 5.6321 Å, b = 5.6321 Å, c = 3.4499 Å, α = 90.00°, β = 90.00° and γ = 120.00°. The asymmetric unit holds Sm at (0.0000, 0.0000, 0.0000), Dy at (0.6667, 0.3333, 0.4990) and Tm at (0.3333, 0.6667, 0.5008).

=====

Entry 8:
A plane-wave DFT calculation with PBE-GGA was carried out for a relaxed structure of TaTl2Ru.

As for the crystal system: tetragonal. The calculation puts the formation energy at 0.969 eV per atom. For the density of states at the Fermi level, the calculation gives 0.967 states/eV per atom. For the offset from the most stable computed form, the calculation gives 0.7697 eV/atom.

It has space group I-42d (No. 122), with a = 7.703 Å, b = 7.703 Å, c = 5.703 Å, α = 90.00°, β = 90.00° and γ = 90.00°. The asymmetric unit holds Ta at (0.000, 0.000, 0.000), Tl at (0.232, 0.250, 0.625) and Ru at (0.000, 0.000, 0.500).

=====

Entry 9:
A plane-wave DFT calculation with PBE-GGA was carried out for a relaxed structure of Cu2SiAu.

As for the crystal system: orthorhombic. For the density of states at the Fermi level, the calculation gives 0.342 states/eV per atom.

It has space group Imm2 (No. 44), with a = 3.817 Å, b = 3.865 Å, c = 7.545 Å, α = 90.00°, β = 90.00° and γ = 90.00°. The asymmetric unit holds Cu at (0.000, 0.000, 0.000), Cu at (0.000, 0.500, 0.248), Si at (0.000, 0.500, 0.747) and Au at (0.000, 0.000, 0.497).

=====

Entry 10:
A plane-wave DFT calculation with PBE-GGA was carried out for a relaxed structure of BaLiCr.

As for the crystal system: cubic. The calculation puts the formation energy at 1.042 eV per atom. For the density of states at the Fermi level, the calculation gives 0.764 states/eV per atom. For the offset from the most stable computed form, the calculation gives 0.4544 eV/atom.

It has space group F-43m (No. 216), with a = 7.958 Å, b = 7.958 Å, c = 7.958 Å, α = 90.00°, β = 90.00° and γ = 90.00°. The asymmetric unit holds Ba at (0.000, 0.000, 0.000), Li at (0.250, 0.250, 0.250) and Cr at (0.250, 0.250, 0.750).

=====

Entry 11:
A plane-wave DFT calculation with PBE-GGA was carried out for a relaxed structure of LiPb.

As for the crystal system: cubic. The calculation puts the formation energy at 0.493 eV per atom. For the density of states at the Fermi level, the calculation gives 1.228 states/eV per atom.

It has space group Pm-3n (No. 223), with a = 7.723 Å, b = 7.723 Å, c = 7.723 Å, α = 90.00°, β = 90.00° and γ = 90.00°. The asymmetric unit holds Li at (0.000, 0.250, 0.500) and Pb at (0.000, 0.500, 0.250).

=====

Entry 12:
A plane-wave DFT calculation with PBE-GGA was carried out for a relaxed structure of La2RuSe.

As for the crystal system: monoclinic. For the density of states at the Fermi level, the calculation gives 0.639 states/eV per atom.

It has space group C2/m (No. 12), with a = 7.329 Å, b = 4.209 Å, c = 7.596 Å, α = 90.00°, β = 108.43° and γ = 90.00°. The asymmetric unit holds La at (0.243, 0.000, 0.223), Ru at (0.000, 0.500, 0.000) and Se at (0.000, 0.000, 0.500).

=====

Entry 13:
A plane-wave DFT calculation with PBE-GGA was carried out for a relaxed structure of HfGePdPt.

As for the crystal system: cubic. The calculation puts the formation energy at -0.686 eV per atom. For the density of states at the Fermi level, the calculation gives 0.494 states/eV per atom.

It has space group F-43m (No. 216), with a = 6.478 Å, b = 6.478 Å, c = 6.478 Å, α = 90.00°, β = 90.00° and γ = 90.00°. The asymmetric unit holds Hf at (0.000, 0.000, 0.000), Ge at (0.000, 0.000, 0.500), Pd at (0.250, 0.250, 0.250) and Pt at (0.250, 0.250, 0.750).

=====

Entry 14:
A plane-wave DFT calculation with PBE-GGA was carried out for a relaxed structure of ZrZnRe2.

As for the crystal system: tetragonal. The calculation puts the formation energy at -0.046 eV per atom. For the density of states at the Fermi level, the calculation gives 0.863 states/eV per atom.

It has space group P4mm (No. 99), with a = 3.061 Å, b = 3.061 Å, c = 7.163 Å, α = 90.00°, β = 90.00° and γ = 90.00°. The asymmetric unit holds Zr at (0.000, 0.000, 0.000), Zn at (0.500, 0.500, 0.722), Re at (0.000, 0.000, 0.486) and Re at (0.500, 0.500, 0.287).

=====

Entry 15:
A plane-wave DFT calculation with PBE-GGA was carried out for a relaxed structure of Ca2La2PmY6.

As for the crystal system: monoclinic. The calculation puts the formation energy at 0.175 eV per atom. For the density of states at the Fermi level, the calculation gives 1.635 states/eV per atom.

It has space group C2/m (No. 12), with a = 6.232 Å, b = 10.904 Å, c = 12.250 Å, α = 90.00°, β = 101.24° and γ = 90.00°. The asymmetric unit holds Ca at (0.000, 0.164, 0.000), La at (0.000, 0.333, 0.500), Pm at (0.000, 0.000, 0.500), Y at (0.242, 0.000, 0.260) and Y at (0.243, 0.334, 0.256).

=====

Entry 16:
A plane-wave DFT calculation with PBE-GGA was carried out for a relaxed structure of InAgAs2.

As for the crystal system: tetragonal. The calculation puts the formation energy at 0.186 eV per atom. For the density of states at the Fermi level, the calculation gives 0.393 states/eV per atom.

It has space group P4mm (No. 99), with a = 3.537 Å, b = 3.537 Å, c = 6.901 Å, α = 90.00°, β = 90.00° and γ = 90.00°. The asymmetric unit holds In at (0.000, 0.000, 0.000), Ag at (0.500, 0.500, 0.239), As at (0.000, 0.000, 0.509) and As at (0.500, 0.500, 0.658).

=====

Entry 17:
A plane-wave DFT calculation with PBE-GGA was carried out for a relaxed structure of LiCeErHg.

As for the crystal system: cubic. The calculation puts the formation energy at -0.092 eV per atom. For the density of states at the Fermi level, the calculation gives 2.640 states/eV per atom.

It has space group F-43m (No. 216), with a = 7.456 Å, b = 7.456 Å, c = 7.456 Å, α = 90.00°, β = 90.00° and γ = 90.00°. The asymmetric unit holds Li at (0.000, 0.000, 0.000), Ce at (0.250, 0.250, 0.250), Er at (0.250, 0.250, 0.750) and Hg at (0.000, 0.000, 0.500).

=====

Entry 18:
A plane-wave DFT calculation with PBE-GGA was carried out for a relaxed structure of LaCu5Rh.

As for the crystal system: orthorhombic. The calculation puts the formation energy at -0.181 eV per atom. For the density of states at the Fermi level, the calculation gives 0.518 states/eV per atom.

It has space group Pnma (No. 62), with a = 8.163 Å, b = 5.113 Å, c = 10.328 Å, α = 90.00°, β = 90.00° and γ = 90.00°. The asymmetric unit holds La at (0.234, 0.250, 0.067), Cu at (0.061, 0.750, 0.103), Cu at (0.068, 0.003, 0.313), Cu at (0.099, 0.250, 0.518), Cu at (0.181, 0.250, 0.754) and Rh at (0.140, 0.750, 0.857).

=====

Entry 19:
A plane-wave DFT calculation with PBE-GGA was carried out for a relaxed structure of Tm4ZrSb5.

As for the crystal system: orthorhombic. For the density of states at the Fermi level, the calculation gives 0.301 states/eV per atom. For the offset from the most stable computed form, the calculation gives 0.0000 eV/atom.

It has space group Immm (No. 71), with a = 4.280 Å, b = 6.066 Å, c = 21.518 Å, α = 90.00°, β = 90.00° and γ = 90.00°. The asymmetric unit holds Tm at (0.000, 0.000, 0.100), Tm at (0.000, 0.000, 0.302), Zr at (0.000, 0.000, 0.500), Sb at (0.000, 0.500, 0.096), Sb at (0.000, 0.500, 0.299) and Sb at (0.000, 0.500, 0.500).

=====

Number 1: total moment 0.000 μB per formula unit, total DFT energy (no corrections) -4.660 eV/atom, volume 163 Å³/f.u.. Number 2: total moment 0.000 μB per formula unit, total DFT energy (no corrections) -6.301 eV/atom, volume 169 Å³/f.u.. Number 3: total moment 0.001 μB per formula unit, total DFT energy (no corrections) -10.048 eV/atom, volume 83 Å³/f.u.. Number 4: total moment 1.635 μB per formula unit, total DFT energy (no corrections) -4.334 eV/atom, volume 128 Å³/f.u.. Number 5: total moment 0.000 μB per formula unit, total DFT energy (no corrections) -2.922 eV/atom, volume 370 Å³/f.u.. Number 6: total moment 0.000 μB per formula unit, total DFT energy (no corrections) -3.650 eV/atom, volume 79 Å³/f.u.. Number 7: total moment 0.000 μB per formula unit, total DFT energy (no corrections) -4.524 eV/atom, volume 95 Å³/f.u.. Number 8: total moment 0.000 μB per formula unit, total DFT energy (no corrections) -5.496 eV/atom, volume 85 Å³/f.u.. Number 9: total moment 0.000 μB per formula unit, total DFT energy (no corrections) -4.185 eV/atom, volume 56 Å³/f.u.. Number 10: total moment 4.921 μB per formula unit, total DFT energy (no corrections) -3.445 eV/atom, volume 126 Å³/f.u.. Number 11: total moment 0.000 μB per formula unit, total DFT energy (no corrections) -2.318 eV/atom, volume 77 Å³/f.u.. Number 12: total moment 0.000 μB per formula unit, total DFT energy (no corrections) -6.623 eV/atom, volume 111 Å³/f.u.. Number 13: total moment 0.000 μB per formula unit, total DFT energy (no corrections) -7.137 eV/atom, volume 68 Å³/f.u.. Number 14: total moment 0.000 μB per formula unit, total DFT energy (no corrections) -8.726 eV/atom, volume 67 Å³/f.u.. Number 15: total moment 0.000 μB per formula unit, total DFT energy (no corrections) -5.042 eV/atom, volume 408 Å³/f.u.. Number 16: total moment 0.000 μB per formula unit, total DFT energy (no corrections) -3.537 eV/atom, volume 86 Å³/f.u.. Number 17: total moment 1.259 μB per formula unit, total DFT energy (no corrections) -3.270 eV/atom, volume 104 Å³/f.u.. Number 18: total moment 0.000 μB per formula unit, total DFT energy (no corrections) -4.861 eV/atom, volume 108 Å³/f.u.. Number 19: total moment 0.000 μB per formula unit, total DFT energy (no corrections) -5.668 eV/atom, volume 279 Å³/f.u..